## Mg14MnZnO16 (PBE+U)

Data for a relaxed structure of Mg14MnZnO16.

a b c (Å): 4.281 8.553 8.568
angles (deg): 90.00 90.00 90.00
Space group Pmmm (No. 47)
One atom of each set of equivalent atoms:
Mg1 0.000 0.000 0.000 [1 per cell]
Mg2 0.000 0.249 0.249 [4 per cell]
Mg3 0.000 0.500 0.000 [1 per cell]
Mg4 0.500 0.000 0.250 [2 per cell]
Mg5 0.500 0.248 0.500 [2 per cell]
Mg6 0.500 0.250 0.000 [2 per cell]
Mg7 0.500 0.500 0.248 [2 per cell]
Mn1 0.000 0.500 0.500 [1 per cell]
Zn1 0.000 0.000 0.500 [1 per cell]
O1 0.000 0.000 0.244 [2 per cell]
O2 0.000 0.246 0.500 [2 per cell]
O3 0.000 0.250 0.000 [2 per cell]
O4 0.000 0.500 0.243 [2 per cell]
O5 0.500 0.000 0.000 [1 per cell]
O6 0.500 0.000 0.500 [1 per cell]
O7 0.500 0.250 0.251 [4 per cell]
O8 0.500 0.500 0.000 [1 per cell]
O9 0.500 0.500 0.500 [1 per cell]

N(E_F): 0.0 states/eV per cell
total moment: 0.156 μB/atom
calculated total energy: -5.996 eV per atom